This record from Alexandria describes an optimized crystal structure of ZnTeMo. The functional is PBEsol.

```
3
Lattice="4.524 0.000 0.000 -2.262 3.918 0.000 0.000 0.000 3.131" Properties=species:S:1:pos:R:3 pbc="T T T"
Zn 0.000 0.000 0.000
Te 2.262 1.306 1.565
Mo 0.000 2.612 1.565
```

Properties
- V (Å³/cell) = 55.5
- space-group type = P-6m2, No. 187
- ρ (Mg/m³) = 8.6
- distance to the lowest polymorph of the same formula (meV per atom) = 460

This record from Alexandria describes an optimized crystal structure of ZnTeMo. The functional is PBEsol.

```
6
Lattice="3.415 0.000 0.000 0.000 3.415 0.000 0.000 0.000 8.623" Properties=species:S:1:pos:R:3 pbc="T T T"
Zn 0.000 0.000 0.000
Zn 1.707 1.707 4.312
Te 0.000 0.000 2.763
Te 1.707 1.707 7.075
Mo 0.000 0.000 5.717
Mo 1.707 1.707 1.405
```

Properties
- V (Å³/cell) = 100.5
- space-group type = I4mm, No. 107
- ρ (Mg/m³) = 9.5
- distance to the lowest polymorph of the same formula (meV per atom) = 0

This record from Alexandria describes an optimized crystal structure of Zn2TeMo. The functional is PBEsol.

```
8
Lattice="9.973 0.000 0.000 0.000 3.507 0.000 -1.717 0.000 3.789" Properties=species:S:1:pos:R:3 pbc="T T T"
Zn 2.030 0.000 0.930
Zn 1.238 1.754 2.859
Zn 7.017 1.754 0.930
Zn 6.225 0.000 2.859
Te -0.859 0.000 1.894
Te 4.128 1.754 1.894
Mo 0.000 1.754 0.000
Mo 4.986 0.000 0.000
```

Properties
- V (Å³/cell) = 132.5
- space-group type = C2/m, No. 12
- ρ (Mg/m³) = 8.9

| no. | E_form (uncorrected) (eV/atom) |
| --- | --- |
| 1 | 0.5515 |
| 2 | 0.0912 |
| 3 | 0.3571 |